Entry 1:
The following is a DFT calculation (GGA-PBE) of SbI after structural relaxation.

Computed properties:
Formation energy (no corrections): -23 meV per atom
DOS at the Fermi energy: 0.051 states/eV per atom

Cell lengths 4.034, 16.240, 7.921 Å; angles 90.00, 90.00, 90.00 degrees
Fractional coordinates of all 12 atoms:
Sb 0.250 0.138 0.047
Sb 0.250 0.362 0.047
Sb 0.250 0.750 0.779
Sb 0.750 0.250 0.221
Sb 0.750 0.638 0.953
Sb 0.750 0.862 0.953
I 0.250 0.250 0.742
I 0.250 0.511 0.756
I 0.250 0.989 0.756
I 0.750 0.011 0.244
I 0.750 0.489 0.244
I 0.750 0.750 0.258


Entry 2:
The following is a DFT calculation (GGA-PBE) of SbI after structural relaxation.

Computed properties:
Formation energy (no corrections): -105 meV per atom

Cell lengths 6.094, 8.558, 14.849 Å; angles 90.00, 90.00, 90.00 degrees
Fractional coordinates of all 16 atoms:
Sb 0.174 0.088 0.472
Sb 0.244 0.671 0.109
Sb 0.256 0.329 0.609
Sb 0.326 0.912 0.972
Sb 0.674 0.412 0.528
Sb 0.744 0.829 0.891
Sb 0.756 0.171 0.391
Sb 0.826 0.588 0.028
I 0.138 0.896 0.241
I 0.144 0.423 0.929
I 0.356 0.577 0.429
I 0.362 0.104 0.741
I 0.638 0.604 0.759
I 0.644 0.077 0.071
I 0.856 0.923 0.571
I 0.862 0.396 0.259


Entry 3:
The following is a DFT calculation (GGA-PBE) of SbI after structural relaxation.

Computed properties:
Formation energy (no corrections): 412 meV per atom
DOS at the Fermi energy: 0.872 states/eV per atom

Cell lengths 10.322, 10.322, 3.597 Å; angles 90.00, 90.00, 90.00 degrees
Fractional coordinates of all 8 atoms:
Sb 0.156 0.156 0.000
Sb 0.344 0.656 0.500
Sb 0.656 0.344 0.500
Sb 0.844 0.844 0.000
I 0.139 0.861 0.000
I 0.361 0.361 0.500
I 0.639 0.639 0.500
I 0.861 0.139 0.000


Entry 4:
The following is a DFT calculation (GGA-PBE) of SbI after structural relaxation.

Computed properties:
Formation energy (no corrections): -67 meV per atom

Cell lengths 6.077, 12.020, 7.872 Å; angles 90.00, 90.00, 90.00 degrees
Fractional coordinates of all 12 atoms:
Sb 0.250 0.035 0.001
Sb 0.250 0.250 0.182
Sb 0.250 0.465 0.001
Sb 0.750 0.535 0.999
Sb 0.750 0.750 0.818
Sb 0.750 0.965 0.999
I 0.250 0.083 0.659
I 0.250 0.417 0.659
I 0.250 0.750 0.770
I 0.750 0.250 0.230
I 0.750 0.583 0.341
I 0.750 0.917 0.341